Computed, not measured: crystalline SnC2O at its relaxed geometry at the PBE level of DFT.

```
SnC2O
1.0
4.516 0.000 0.000
0.000 4.516 0.000
2.258 2.258 5.037
C Sn O
4 2 2
Direct
0.565 0.125 0.250 C
0.185 0.625 0.250 C
0.375 0.435 0.750 C
0.875 0.815 0.750 C
0.000 0.000 0.000 Sn
0.750 0.250 0.500 Sn
0.500 0.500 0.000 O
0.250 0.750 0.500 O
```

## Properties
Crystal system: tetragonal
Size of the total moment, μB/f.u.: 0.00
Raw formation energy, eV per atom: 1.855
Energy above the most stable polymorph in this dataset, meV per atom: 0
DFT total energy, eV per cell: -39.980